# La6Er12Tm

A geometry-optimized La6Er12Tm structure (PBE-GGA, Alexandria).

a = 13.2967 Å, b = 13.2967 Å, c = 12.6619 Å
α = 90.00°, β = 90.00°, γ = 120.00°
Space group R-3m (No. 166, hexagonal axes)
Asymmetric unit:
La 0.0395 0.5197 0.1152
Er 0.0000 0.2541 0.0000
Er 0.0914 0.1828 0.7629
Tm 0.0000 0.0000 0.5000

Results
Its calculated total energy is -4.449 eV/atom.



# LaEr4Tm6

A geometry-optimized LaEr4Tm6 structure (PBE-GGA, Alexandria).

a = 7.709 Å, b = 7.709 Å, c = 12.704 Å
α = 90.00°, β = 90.00°, γ = 90.00°
Space group I-42m (No. 121)
Asymmetric unit:
La 0.000 0.000 0.000
Er 0.163 0.163 0.426
Tm 0.000 0.500 0.000
Tm 0.242 0.242 0.687

Results
Its calculated total energy is -4.086 eV/atom.



# La4ErTm3

A geometry-optimized La4ErTm3 structure (PBE-GGA, Alexandria).

a = 11.604 Å, b = 7.303 Å, c = 6.350 Å
α = 90.00°, β = 90.00°, γ = 90.00°
Space group Pmn2_1 (No. 31)
Asymmetric unit:
La 0.000 0.127 0.000
La 0.000 0.871 0.509
La 0.247 0.128 0.334
Er 0.000 0.620 0.006
Tm 0.000 0.383 0.505
Tm 0.250 0.382 0.834

Results
Its calculated total energy is -4.677 eV/atom.



# La6Er3Tm

A geometry-optimized La6Er3Tm structure (PBE-GGA, Alexandria).

a = 11.6561 Å, b = 11.6561 Å, c = 18.2029 Å
α = 90.00°, β = 90.00°, γ = 120.00°
Space group R-3m (No. 166, hexagonal axes)
Asymmetric unit:
La 0.0783 0.5391 0.3277
La 0.0983 0.1966 0.8645
Er 0.0204 0.5102 0.1161
Tm 0.0000 0.0000 0.0000
Tm 0.0000 0.0000 0.5000

Results
Its calculated total energy is -4.537 eV/atom.



# LaEr3Tm6

A geometry-optimized LaEr3Tm6 structure (PBE-GGA, Alexandria).

a = 9.7174 Å, b = 9.7174 Å, c = 11.6233 Å
α = 90.00°, β = 90.00°, γ = 120.00°
Space group R3 (No. 146, hexagonal axes)
Asymmetric unit:
La 0.0000 0.0000 0.0000
Er 0.0000 0.0000 0.2487
Er 0.0000 0.0000 0.4974
Er 0.0000 0.0000 0.7422
Tm 0.0014 0.6650 0.1702
Tm 0.0020 0.3396 0.0029

Results
Its calculated total energy is -4.245 eV/atom.



# LaEr3Tm

A geometry-optimized LaEr3Tm structure (PBE-GGA, Alexandria).

a = 6.242 Å, b = 5.671 Å, c = 9.556 Å
α = 90.00°, β = 108.98°, γ = 90.00°
Space group P2_1/m (No. 11)
Asymmetric unit:
La 0.070 0.250 0.300
Er 0.135 0.750 0.097
Er 0.271 0.250 0.704
Er 0.334 0.750 0.499
Tm 0.464 0.250 0.097

Results
Its calculated total energy is -4.597 eV/atom.



# La3Er2Tm

A geometry-optimized La3Er2Tm structure (PBE-GGA, Alexandria).

a = 5.881 Å, b = 17.661 Å, c = 3.920 Å
α = 90.00°, β = 90.00°, γ = 90.00°
Space group Cmmm (No. 65)
Asymmetric unit:
La 0.000 0.000 0.000
La 0.000 0.334 0.000
Er 0.000 0.167 0.500
Tm 0.000 0.500 0.500

Results
Its calculated total energy is -4.664 eV/atom.



# La2Er4Tm7

A geometry-optimized La2Er4Tm7 structure (PBE-GGA, Alexandria).

a = 6.0144 Å, b = 6.0144 Å, c = 13.3429 Å
α = 90.00°, β = 90.00°, γ = 120.00°
Space group P-31m (No. 162)
Asymmetric unit:
La 0.3333 0.6667 0.0000
Er 0.0000 0.0000 0.3956
Er 0.3333 0.6667 0.5000
Tm 0.0000 0.0000 0.0000
Tm 0.0000 0.3486 0.7841

Results
Its calculated total energy is -4.363 eV/atom.



# La3Er3Tm5

A geometry-optimized La3Er3Tm5 structure (PBE-GGA, Alexandria).

a = 9.6835 Å, b = 9.6835 Å, c = 5.2996 Å
α = 90.00°, β = 90.00°, γ = 120.00°
Space group P-62m (No. 189)
Asymmetric unit:
La 0.0000 0.6447 0.0000
Er 0.0000 0.4826 0.5000
Tm 0.0000 0.2846 0.0000
Tm 0.3333 0.6667 0.0000

Results
Its calculated total energy is -3.812 eV/atom.



# La3Er2Tm3

A geometry-optimized La3Er2Tm3 structure (PBE-GGA, Alexandria).

a = 4.966 Å, b = 5.134 Å, c = 20.606 Å
α = 90.00°, β = 90.00°, γ = 90.00°
Space group Immm (No. 71)
Asymmetric unit:
La 0.000 0.000 0.000
La 0.000 0.500 0.125
Er 0.000 0.000 0.248
Tm 0.000 0.000 0.500
Tm 0.000 0.500 0.372

Results
Its calculated total energy is -4.629 eV/atom.



# La2Er5Tm12

A geometry-optimized La2Er5Tm12 structure (PBE-GGA, Alexandria).

a = 6.044 Å, b = 8.758 Å, c = 11.542 Å
α = 91.64°, β = 103.57°, γ = 95.38°
Space group P-1 (No. 2)
Asymmetric unit:
La 0.213 0.473 0.419
Er 0.000 0.000 0.000
Er 0.166 0.846 0.525
Er 0.451 0.691 0.050
Tm 0.010 0.739 0.209
Tm 0.099 0.374 0.108
Tm 0.252 0.100 0.316
Tm 0.343 0.946 0.832
Tm 0.347 0.574 0.739
Tm 0.415 0.208 0.635

Results
Its calculated total energy is -4.484 eV/atom.



# LaEr3Tm3

A geometry-optimized LaEr3Tm3 structure (PBE-GGA, Alexandria).

a = 9.5158 Å, b = 9.5158 Å, c = 5.6279 Å
α = 90.00°, β = 90.00°, γ = 120.00°
Space group P6_3/m (No. 176)
Asymmetric unit:
La 0.3333 0.6667 0.2500
Er 0.0470 0.2350 0.2500
Tm 0.0960 0.4760 0.7500

Results
Its calculated total energy is -4.561 eV/atom.



Energy of formation for every record listed, in sequence, given in eV per atom: 0.22, 0.46, 0.03, 0.24, 0.30, 0.02, 0.07, 0.21, 0.81, 0.04, 0.06, 0.02.